Entry from Alexandria: a geometry-optimized Dy2TmCuSe5 structure (GGA-PBE).

Cell: 3.975 8.898 11.976 Å, 90.00 90.00 102.91°
Element x y z (fractional)
Dy1 0.877 0.755 0.806
Dy2 0.108 0.216 0.685
Dy3 0.123 0.245 0.306
Dy4 0.892 0.784 0.185
Tm1 0.807 0.614 0.510
Tm2 0.193 0.386 0.010
Cu1 0.564 0.129 0.957
Cu2 0.436 0.871 0.457
Se1 0.357 0.714 0.000
Se2 0.687 0.373 0.843
Se3 0.498 0.997 0.781
Se4 0.287 0.575 0.675
Se5 0.958 0.917 0.566
Se6 0.643 0.286 0.500
Se7 0.313 0.627 0.343
Se8 0.502 0.003 0.281
Se9 0.713 0.425 0.175
Se10 0.042 0.083 0.066

Summary:
* ΔE_f (raw): -1532 meV per atom
* calculated total energy: -5.44 eV/atom
* total moment: 0.000 μB per cell